Run w
VASP calculation (meta-GGA SCAN) on a crystal of SrLaOs2 relaxed with PBEsol.

- total magnetic moment (μB per atom) = 0.000

a = 4.952 Å, b = 4.952 Å, c = 4.952 Å
α = 60.00°, β = 60.00°, γ = 60.00°
Fractional positions:
Os 0.750 0.750 0.750
Os 0.250 0.250 0.250
Sr 0.500 0.500 0.500
La 0.000 0.000 0.000

***

Run x
VASP calculation (meta-GGA SCAN) on a crystal of SrLaOs2 relaxed with PBEsol.

- total magnetic moment (μB per atom) = 0.000

a = 3.026 Å, b = 3.026 Å, c = 9.506 Å
α = 90.00°, β = 90.00°, γ = 113.08°
Fractional positions:
Os 0.000 0.000 0.760
Os 0.000 0.000 0.240
La 0.500 0.500 0.000
Sr 0.500 0.500 0.500

***

Most stable = run w

***

Run w
VASP calculation (meta-GGA SCAN) on a crystal of La2TaOs relaxed with PBEsol.

- total magnetic moment (μB per atom) = 0.000

a = 3.191 Å, b = 4.209 Å, c = 6.710 Å
α = 90.00°, β = 99.43°, γ = 90.00°
Fractional positions:
La 0.578 0.500 0.273
La 0.937 0.000 0.981
Os 0.058 0.000 0.549
Ta 0.427 0.500 0.697

***

Run x
VASP calculation (meta-GGA SCAN) on a crystal of La2TaOs relaxed with PBEsol.

- total magnetic moment (μB per atom) = 0.644

a = 5.035 Å, b = 5.035 Å, c = 5.035 Å
α = 60.00°, β = 60.00°, γ = 60.00°
Site moments in Bohr magnetons follow the coordinates.
Fractional positions:
Ta 0.500 0.500 0.500  -1.39
La 0.250 0.250 0.250  -0.19
La 0.750 0.750 0.750  -0.19
Os 0.000 0.000 0.000  -0.07

***

Most stable = run w

***

Run w
VASP calculation (meta-GGA SCAN) on a crystal of LaTc2Os relaxed with PBEsol.

- total magnetic moment (μB per atom) = 0.000

a = 2.826 Å, b = 2.826 Å, c = 9.857 Å
α = 81.76°, β = 81.76°, γ = 60.00°
Fractional positions:
La 0.500 0.500 0.501
Tc 0.738 0.738 0.787
Tc 0.000 0.000 0.999
Os 0.262 0.262 0.213

***

Run x
VASP calculation (meta-GGA SCAN) on a crystal of LaTc2Os relaxed with PBEsol.

- total magnetic moment (μB per atom) = 0.000

a = 4.699 Å, b = 4.699 Å, c = 3.055 Å
α = 90.00°, β = 90.00°, γ = 90.00°
Fractional positions:
Os 0.000 0.000 0.500
Tc 0.000 0.500 0.000
Tc 0.500 0.000 0.000
La 0.500 0.500 0.500

***

Most stable = run w

***

Run w
VASP calculation (meta-GGA SCAN) on a crystal of LaTl2Os relaxed with PBEsol.

- total magnetic moment (μB per atom) = 0.000

a = 5.003 Å, b = 5.003 Å, c = 5.003 Å
α = 60.00°, β = 60.00°, γ = 60.00°
Fractional positions:
Os 0.500 0.500 0.500
Tl 0.250 0.250 0.250
Tl 0.750 0.750 0.750
La 0.000 0.000 0.000

***

Run x
VASP calculation (meta-GGA SCAN) on a crystal of LaTl2Os relaxed with PBEsol.

- total magnetic moment (μB per atom) = 0.000

a = 4.832 Å, b = 5.214 Å, c = 4.832 Å
α = 62.40°, β = 90.00°, γ = 117.60°
Fractional positions:
Tl 0.250 0.500 0.250
Tl 0.000 0.000 0.000
Os 0.750 0.500 0.750
La 0.500 0.000 0.500

***

Most stable = run w